1.
The following is a DFT calculation (GGA-PBE) of Nd2YBi after structural relaxation.

Cell: 4.923 4.923 5.050 Å, 90.00 90.00 90.00°
Fractional coordinates of all 4 atoms:
Nd  0.000  0.500  0.000
Nd  0.500  0.000  0.000
Y  0.000  0.000  0.500
Bi  0.500  0.500  0.500

Summary:
symmetry	P4/mmm
uncorrected energy	-5.3747	eV per atom
ΔE to the lowest computed polymorph	0.018	eV/atom

=====

2.
The following is a DFT calculation (GGA-PBE) of Nd3YBi2 after structural relaxation.

Cell: 9.242 9.242 9.242 Å, 133.99 71.88 128.07°
Fractional coordinates of all 12 atoms:
Nd  0.046  0.750  0.296
Nd  0.250  0.250  0.000
Nd  0.454  0.750  0.704
Nd  0.546  0.250  0.296
Nd  0.750  0.750  0.000
Nd  0.954  0.250  0.704
Y  0.000  0.500  0.500
Y  0.500  0.000  0.500
Bi  0.146  0.170  0.317
Bi  0.354  0.670  0.024
Bi  0.646  0.330  0.976
Bi  0.854  0.830  0.683

Summary:
symmetry	Ibam
uncorrected energy	-5.1745	eV per atom
ΔE to the lowest computed polymorph	0.236	eV/atom